DFT (GGA+U) results for a relaxed HfBeMoO2 crystal. Values from VASP.

For the total energy, the calculation gives -6.86 eV per atom.

```
&SYSTEM
  ibrav = 0, nat = 5, ntyp = 4
/
ATOMIC_SPECIES
Mo 95.94 Mo.upf
O 16.00 O.upf
Be 9.01 Be.upf
Hf 178.49 Hf.upf
ATOMIC_POSITIONS crystal
Mo 0.500 0.500 0.500
O 0.500 0.000 0.000
O 0.000 0.000 0.500
Be 0.000 0.500 0.000
Hf 0.000 0.000 0.000
CELL_PARAMETERS angstrom
4.003 0.000 0.000
0.000 5.340 0.000
0.000 0.000 4.003
```